Density functional theory data (PBE) for a relaxed structure of NiP3.

Output
Symmetry   Immm (71)
E_form   29.61 kJ/mol of atoms
E_tot   -5.1959 eV/atom
N(E_F)   1.53 states/eV/cell
V   56.3 Å³ per cell

Structure (POSCAR):
```
NiP3
1.0
-1.341 2.056 5.111
1.341 -2.056 5.111
1.341 2.056 -5.111
Ni P
1 3
direct
0.000 0.000 0.000
0.189 0.689 0.500
0.500 0.500 0.000
0.811 0.311 0.500
```



Density functional theory data (PBE) for a relaxed structure of La2Al3TlAg4.

Output
Symmetry   P-4m2 (115)
E_form   -27.63 kJ/mol of atoms
E_tot   -3.7717 eV/atom
N(E_F)   6.08 states/eV/cell
V   227.5 Å³ per cell

Structure (POSCAR):
```
La2Al3TlAg4
1.0
4.527 0.000 0.000
0.000 4.527 0.000
0.000 0.000 11.097
La Al Tl Ag
2 3 1 4
direct
0.000 0.500 0.240
0.500 0.000 0.760
0.000 0.500 0.877
0.500 0.000 0.123
0.500 0.500 0.500
0.000 0.000 0.500
0.000 0.000 0.000
0.000 0.500 0.649
0.500 0.000 0.351
0.500 0.500 0.000
```



Density functional theory data (PBE) for a relaxed structure of KTaBr2.

Output
Symmetry   P4mm (99)
Energy relative to the elements, uncorrected   0.071 eV per atom
E_tot   -4.0029 eV/atom
N(E_F)   2.95 states/eV/cell
V   108.4 Å³ per cell

Structure (POSCAR):
```
KTaBr2
1.0
3.296 0.000 0.000
0.000 3.296 0.000
0.000 0.000 9.977
K Ta Br
1 1 2
direct
0.000 0.000 0.000
0.500 0.500 0.328
0.000 0.000 0.477
0.500 0.500 0.791
```



Density functional theory data (PBE) for a relaxed structure of SmHo7Er5.

Output
Symmetry   Imm2 (44)
E_form   24.65 kJ/mol of atoms
E_tot   -4.3275 eV/atom
N(E_F)   25.73 states/eV/cell
V   420.7 Å³ per cell

Structure (POSCAR):
```
SmHo7Er5
1.0
-3.323 5.524 5.730
3.323 -5.524 5.730
3.323 5.524 -5.730
Sm Ho Er
1 7 5
direct
0.000 0.000 0.000
0.224 0.554 0.671
0.305 0.305 0.000
0.382 0.053 0.329
0.611 0.611 0.000
0.725 0.053 0.671
0.802 0.302 0.500
0.883 0.554 0.329
0.031 0.036 0.462
0.031 0.569 0.995
0.305 0.805 0.500
0.574 0.036 0.005
0.574 0.569 0.538
```



Density functional theory data (PBE) for a relaxed structure of MgMn2I.

Output
Symmetry   I-42d (122)
Energy relative to the elements, uncorrected   0.666 eV per atom
E_tot   -4.7052 eV/atom
N(E_F)   6.98 states/eV/cell
V   182.2 Å³ per cell

Structure (POSCAR):
```
MgMn2I
1.0
-3.933 3.933 2.944
3.933 -3.933 2.944
3.933 3.933 -2.944
Mg Mn I
2 4 2
direct
0.000 0.000 0.000
0.750 0.250 0.500
0.134 0.625 0.009
0.375 0.384 0.509
0.616 0.125 0.991
0.875 0.866 0.491
0.250 0.750 0.500
0.500 0.500 0.000
```



Density functional theory data (PBE) for a relaxed structure of LiCuRu2.

Output
Symmetry   Imm2 (44)
E_form   21.28 kJ/mol of atoms
E_tot   -5.9199 eV/atom
N(E_F)   2.83 states/eV/cell
V   50.2 Å³ per cell

Structure (POSCAR):
```
LiCuRu2
1.0
-1.515 2.072 4.000
1.515 -2.072 4.000
1.515 2.072 -4.000
Li Cu Ru
1 1 2
direct
0.000 0.000 0.000
0.775 0.275 0.500
0.251 0.751 0.500
0.514 0.514 0.000
```



Density functional theory data (PBE) for a relaxed structure of Li5MgF8.

Output
Symmetry   F-43m (216)
Energy relative to the elements, uncorrected   -2.799 eV per atom
E_tot   -4.6660 eV/atom
N(E_F)   15.48 states/eV/cell
V   145.6 Å³ per cell

Structure (POSCAR):
```
Li5MgF8
1.0
0.000 4.175 4.175
4.175 0.000 4.175
4.175 4.175 0.000
Li Mg F
5 1 8
direct
0.000 0.000 0.000
0.375 0.375 0.375
0.375 0.375 0.875
0.375 0.875 0.375
0.875 0.375 0.375
0.750 0.750 0.750
0.132 0.132 0.132
0.132 0.132 0.605
0.132 0.605 0.132
0.144 0.619 0.619
0.605 0.132 0.132
0.619 0.144 0.619
0.619 0.619 0.144
0.619 0.619 0.619
```



Density functional theory data (PBE) for a relaxed structure of NaCaBiF6.

Output
Symmetry   P-31c (163)
Energy relative to the elements, uncorrected   -2.961 eV per atom
E_tot   -5.0092 eV/atom
N(E_F)   0.00 states/eV/cell
V   302.4 Å³ per cell

Structure (POSCAR):
```
NaCaBiF6
1.0
6.109 0.000 0.000
-3.055 5.291 0.000
0.000 0.000 9.356
Na Ca Bi F
2 2 2 12
direct
0.000 0.000 0.000
0.000 0.000 0.500
0.333 0.667 0.250
0.667 0.333 0.750
0.333 0.667 0.750
0.667 0.333 0.250
0.001 0.346 0.130
0.001 0.654 0.370
0.346 0.001 0.630
0.346 0.346 0.370
0.346 0.346 0.870
0.346 0.999 0.130
0.654 0.001 0.870
0.654 0.654 0.130
0.654 0.654 0.630
0.654 0.999 0.370
0.999 0.346 0.630
0.999 0.654 0.870
```



Density functional theory data (PBE) for a relaxed structure of Ce3DySb2.

Output
Symmetry   C2/m (12)
Energy relative to the elements, uncorrected   -0.646 eV per atom
E_tot   -5.7537 eV/atom
N(E_F)   24.08 states/eV/cell
V   333.6 Å³ per cell

Structure (POSCAR):
```
Ce3DySb2
1.0
9.161 -2.063 0.000
9.161 2.063 0.000
-3.517 0.000 8.828
Ce Dy Sb
6 2 4
direct
0.070 0.070 0.117
0.296 0.296 0.576
0.367 0.367 0.010
0.633 0.633 0.990
0.704 0.704 0.424
0.930 0.930 0.883
0.101 0.101 0.614
0.899 0.899 0.386
0.263 0.263 0.220
0.481 0.481 0.670
0.519 0.519 0.330
0.737 0.737 0.780
```



Density functional theory data (PBE) for a relaxed structure of Nd12Bi6Rh.

Output
Symmetry   R-3 (148)
E_form   -51.61 kJ/mol of atoms
E_tot   -5.1587 eV/atom
N(E_F)   15.79 states/eV/cell
V   685.5 Å³ per cell

Structure (POSCAR):
```
Nd12Bi6Rh
1.0
6.834 3.946 4.237
-6.834 3.946 4.237
0.000 -7.891 4.237
Nd Bi Rh
12 6 1
direct
0.008 0.686 0.943
0.057 0.992 0.314
0.196 0.418 0.549
0.314 0.057 0.992
0.418 0.549 0.196
0.451 0.804 0.582
0.549 0.196 0.418
0.582 0.451 0.804
0.686 0.943 0.008
0.804 0.582 0.451
0.943 0.008 0.686
0.992 0.314 0.057
0.121 0.647 0.314
0.314 0.121 0.647
0.353 0.686 0.879
0.647 0.314 0.121
0.686 0.879 0.353
0.879 0.353 0.686
0.000 0.000 0.000
```



Density functional theory data (PBE) for a relaxed structure of Sm12Er3Th.

Output
Symmetry   P4/mmm (123)
E_form   2.56 kJ/mol of atoms
E_tot   -4.8321 eV/atom
N(E_F)   22.68 states/eV/cell
V   528.9 Å³ per cell

Structure (POSCAR):
```
Sm12Er3Th
1.0
5.097 0.000 0.000
0.000 5.097 0.000
0.000 0.000 20.363
Sm Er Th
12 3 1
direct
0.000 0.000 0.000
0.000 0.000 0.248
0.000 0.000 0.500
0.000 0.000 0.752
0.000 0.500 0.125
0.000 0.500 0.376
0.000 0.500 0.624
0.000 0.500 0.875
0.500 0.000 0.125
0.500 0.000 0.376
0.500 0.000 0.624
0.500 0.000 0.875
0.500 0.500 0.000
0.500 0.500 0.249
0.500 0.500 0.751
0.500 0.500 0.500
```



Density functional theory data (PBE) for a relaxed structure of KBS4.

Output
Symmetry   C2/m (12)
Energy relative to the elements, uncorrected   -0.456 eV per atom
E_tot   -4.5035 eV/atom
N(E_F)   0.08 states/eV/cell
V   393.9 Å³ per cell

Structure (POSCAR):
```
KBS4
1.0
7.042 -3.273 0.000
7.042 3.273 0.000
-1.318 0.000 8.546
K B S
2 2 8
direct
0.202 0.202 0.151
0.798 0.798 0.849
0.418 0.418 0.934
0.582 0.582 0.066
0.282 0.573 0.394
0.282 0.718 0.000
0.300 0.300 0.838
0.427 0.718 0.606
0.573 0.282 0.394
0.700 0.700 0.162
0.718 0.282 0.000
0.718 0.427 0.606
```



Density functional theory data (PBE) for a relaxed structure of H2PbI.

Output
Symmetry   I-42d (122)
E_tot   -2.7120 eV/atom
N(E_F)   1.44 states/eV/cell
V   164.0 Å³ per cell

Structure (POSCAR):
```
H2PbI
1.0
-2.575 2.575 6.181
2.575 -2.575 6.181
2.575 2.575 -6.181
H Pb I
4 2 2
direct
0.375 0.127 0.252
0.873 0.125 0.248
0.875 0.123 0.748
0.877 0.625 0.752
0.000 0.000 0.000
0.750 0.250 0.500
0.250 0.750 0.500
0.500 0.500 0.000
```



Density functional theory data (PBE) for a relaxed structure of Ce3NiOs2.

Output
Symmetry   Pnma (62)
E_form   -20.53 kJ/mol of atoms
E_tot   -7.8865 eV/atom
N(E_F)   36.51 states/eV/cell
V   506.6 Å³ per cell

Structure (POSCAR):
```
Ce3NiOs2
1.0
10.740 0.000 0.000
0.000 4.358 0.000
0.000 0.000 10.822
Ce Ni Os
12 4 8
direct
0.052 0.250 0.117
0.113 0.750 0.565
0.214 0.250 0.805
0.286 0.750 0.305
0.387 0.250 0.065
0.448 0.750 0.617
0.552 0.250 0.383
0.613 0.750 0.935
0.714 0.250 0.695
0.786 0.750 0.195
0.887 0.250 0.435
0.948 0.750 0.883
0.139 0.250 0.377
0.361 0.750 0.877
0.639 0.250 0.123
0.861 0.750 0.623
0.020 0.750 0.285
0.185 0.750 0.038
0.315 0.250 0.538
0.480 0.250 0.785
0.520 0.750 0.215
0.685 0.750 0.462
0.815 0.250 0.962
0.980 0.250 0.715
```



Density functional theory data (PBE) for a relaxed structure of AcPu2Tl.

Output
Symmetry   P4/mmm (123)
E_form   5.72 kJ/mol of atoms
E_tot   -8.7254 eV/atom
N(E_F)   12.77 states/eV/cell
V   122.6 Å³ per cell

Structure (POSCAR):
```
AcPu2Tl
1.0
4.810 0.000 0.000
0.000 4.810 0.000
0.000 0.000 5.298
Ac Pu Tl
1 2 1
direct
0.000 0.000 0.000
0.000 0.500 0.500
0.500 0.000 0.500
0.500 0.500 0.000
```



Density functional theory data (PBE) for a relaxed structure of PmPrGaN3.

Output
Symmetry   P2_1/m (11)
Energy relative to the elements, uncorrected   -0.880 eV per atom
E_tot   -7.1354 eV/atom
V   202.0 Å³ per cell

Structure (POSCAR):
```
PmPrGaN3
1.0
7.501 0.000 0.000
0.000 3.536 0.000
-0.872 0.000 7.616
Pm Pr Ga N
2 2 2 6
direct
0.134 0.250 0.168
0.866 0.750 0.832
0.332 0.750 0.824
0.668 0.250 0.176
0.403 0.750 0.396
0.597 0.250 0.604
0.106 0.250 0.861
0.338 0.250 0.499
0.375 0.750 0.142
0.625 0.250 0.858
0.662 0.750 0.501
0.894 0.750 0.139
```



Density functional theory data (PBE) for a relaxed structure of AcPrSn4.

Output
Symmetry   Cmcm (63)
E_form   -52.37 kJ/mol of atoms
E_tot   -4.6927 eV/atom
N(E_F)   7.82 states/eV/cell
V   370.4 Å³ per cell

Structure (POSCAR):
```
AcPrSn4
1.0
2.428 -11.354 0.000
2.428 11.354 0.000
0.000 0.000 6.717
Ac Pr Sn
2 2 8
direct
0.224 0.776 0.750
0.776 0.224 0.250
0.071 0.929 0.250
0.929 0.071 0.750
0.076 0.924 0.750
0.354 0.646 0.004
0.354 0.646 0.496
0.500 0.500 0.000
0.500 0.500 0.500
0.646 0.354 0.504
0.646 0.354 0.996
0.924 0.076 0.250
```



Density functional theory data (PBE) for a relaxed structure of YCuPb.

Output
Symmetry   P3m1 (156)
E_form   -26.27 kJ/mol of atoms
E_tot   -5.0285 eV/atom
N(E_F)   1.31 states/eV/cell
V   136.8 Å³ per cell

Structure (POSCAR):
```
YCuPb
1.0
4.915 0.000 0.000
-2.457 4.256 0.000
0.000 0.000 6.533
Y Cu Pb
2 2 2
direct
0.000 0.000 0.000
0.333 0.667 0.490
0.000 0.000 0.504
0.333 0.667 0.982
0.667 0.333 0.245
0.667 0.333 0.745
```



Density functional theory data (PBE) for a relaxed structure of Ca2SmCd.

Output
Symmetry   P4/mmm (123)
E_form   -5.73 kJ/mol of atoms
E_tot   -2.4688 eV/atom
N(E_F)   6.16 states/eV/cell
V   129.1 Å³ per cell

Structure (POSCAR):
```
Ca2SmCd
1.0
4.917 0.000 0.000
0.000 4.917 0.000
0.000 0.000 5.341
Ca Sm Cd
2 1 1
direct
0.000 0.500 0.000
0.500 0.000 0.000
0.000 0.000 0.500
0.500 0.500 0.500
```



Density functional theory data (PBE) for a relaxed structure of HfNi2C.

Output
Symmetry   I-42d (122)
E_form   2.58 kJ/mol of atoms
E_tot   -7.6582 eV/atom
N(E_F)   7.61 states/eV/cell
V   99.2 Å³ per cell

Structure (POSCAR):
```
HfNi2C
1.0
-3.265 3.265 2.327
3.265 -3.265 2.327
3.265 3.265 -2.327
Hf Ni C
2 4 2
direct
0.000 0.000 0.000
0.750 0.250 0.500
0.233 0.625 0.108
0.375 0.483 0.608
0.517 0.125 0.892
0.875 0.767 0.392
0.250 0.750 0.500
0.500 0.500 0.000
```



Density functional theory data (PBE) for a relaxed structure of MnPH2.

Output
Symmetry   P-3m1 (164)
E_tot   -5.1377 eV/atom
N(E_F)   1.81 states/eV/cell
V   32.3 Å³ per cell

Structure (POSCAR):
```
MnPH2
1.0
2.674 0.000 0.000
-1.337 2.316 0.000
0.000 0.000 5.216
Mn P H
1 1 2
direct
0.000 0.000 0.000
0.000 0.000 0.500
0.333 0.667 0.144
0.667 0.333 0.856
```



Density functional theory data (PBE) for a relaxed structure of LiCaSn2.

Output
Symmetry   I-42d (122)
E_form   -22.47 kJ/mol of atoms
E_tot   -3.2132 eV/atom
N(E_F)   5.39 states/eV/cell
V   233.3 Å³ per cell

Structure (POSCAR):
```
LiCaSn2
1.0
-2.438 2.438 9.815
2.438 -2.438 9.815
2.438 2.438 -9.815
Li Ca Sn
2 2 4
direct
0.000 0.000 0.000
0.750 0.250 0.500
0.250 0.750 0.500
0.500 0.500 0.000
0.052 0.625 0.927
0.375 0.302 0.427
0.698 0.125 0.073
0.875 0.948 0.573
```